1.
Here is a geometry-optimized NaSb2Pt2 structure from the Alexandria database. Energies are from PBE.

Properties
ΔE_f (raw): -451 meV per atom
space-group type: C2/m (12)

Lattice parameters (Å, degrees): 4.5564 5.1367 5.8482 107.03 112.93 90.00
Last column: nearest neighbours and their distance in Å.
Atoms (fractional coordinates):
Sb: 0.3486 0.4087 0.6972  4 Pt 2.66-2.80
Pt: 0.2525 0.8337 0.5050  4 Sb 2.66-2.80, 2 Pt 2.86
Sb: 0.6514 0.5913 0.3028  4 Pt 2.66-2.80
Na: 0.0000 0.0000 0.0000  6 Pt 3.10-3.40
Pt: 0.7475 0.1663 0.4950  4 Sb 2.66-2.80, 2 Pt 2.86


2.
Here is a geometry-optimized NaSbPt3 structure from the Alexandria database. Energies are from PBE.

Properties
ΔE_f (raw): 1126 meV per atom
space-group type: Pm-3m (221)

Lattice parameters (Å, degrees): 4.6779 4.6779 4.6779 90.00 90.00 90.00
Last column: nearest neighbours and their distance in Å.
Atoms (fractional coordinates):
Pt: 0.5000 0.0000 0.0000  2 Na 2.34
Pt: 0.0000 0.0000 0.5000  2 Na 2.34
Sb: 0.5000 0.5000 0.5000  12 Pt 3.31
Na: 0.0000 0.0000 0.0000  6 Pt 2.34
Pt: 0.0000 0.5000 0.0000  2 Na 2.34


3.
Here is a geometry-optimized NaSb2Pt structure from the Alexandria database. Energies are from PBE.

Properties
ΔE_f (raw): -413 meV per atom
space-group type: P2_1/m (11)

Lattice parameters (Å, degrees): 4.1224 6.4312 7.7784 90.00 90.00 108.79
Last column: nearest neighbours and their distance in Å.
Atoms (fractional coordinates):
Na: 0.9507 0.9033 0.2500  1 Pt 3.11, 4 Sb 3.26
Sb: 0.6503 0.2978 0.4658  3 Pt 2.75-2.82
Na: 0.0493 0.0967 0.7500  1 Pt 3.11, 4 Sb 3.26
Sb: 0.6503 0.2978 0.0342  3 Pt 2.75-2.82
Sb: 0.3497 0.7022 0.9658  3 Pt 2.75-2.82
Pt: 0.7908 0.5862 0.7500  6 Sb 2.75-2.82
Pt: 0.2092 0.4138 0.2500  6 Sb 2.75-2.82
Sb: 0.3497 0.7022 0.5342  3 Pt 2.75-2.82


4.
Here is a geometry-optimized NaSb2Pt structure from the Alexandria database. Energies are from PBE.

Properties
ΔE_f (raw): -311 meV per atom
space-group type: R-3m (166)

Lattice parameters (Å, degrees): 4.0670 4.0670 9.1183 77.11 77.11 60.00
Last column: nearest neighbours and their distance in Å.
Atoms (fractional coordinates):
Sb: 0.8835 0.8835 0.3496  3 Pt 2.70
Na: 0.0000 0.0000 0.0000  2 Sb 3.08
Sb: 0.1165 0.1165 0.6504  3 Pt 2.70
Pt: 0.5000 0.5000 0.5000  6 Sb 2.70


5.
Here is a geometry-optimized Na2Sb2Pt3 structure from the Alexandria database. Energies are from PBE.

Properties
ΔE_f (raw): -408 meV per atom
space-group type: C2/m (12)

Lattice parameters (Å, degrees): 4.3271 7.1755 7.5097 118.76 73.26 72.45
Last column: nearest neighbours and their distance in Å.
Atoms (fractional coordinates):
Pt: 0.6366 0.0705 0.6563  3 Sb 2.64-2.78, 3 Pt 2.80-2.82
Sb: 0.7928 0.1163 0.2981  5 Pt 2.64-2.79
Sb: 0.2072 0.8837 0.7019  5 Pt 2.64-2.79
Na: 0.8648 0.4762 0.7943  5 Pt 2.90-3.16
Na: 0.1352 0.5238 0.2057  5 Pt 2.90-3.16
Pt: 0.5000 0.0000 0.0000  4 Sb 2.79, 2 Pt 2.80, 2 Na 2.90
Pt: 0.3634 0.9295 0.3437  3 Sb 2.64-2.78, 3 Pt 2.80-2.82


6.
Here is a geometry-optimized NaSb2Pt structure from the Alexandria database. Energies are from PBE.

Properties
ΔE_f (raw): -290 meV per atom
space-group type: I-42d (122)

Lattice parameters (Å, degrees): 8.4382 8.4382 6.6349 50.51 50.51 90.00
Last column: nearest neighbours and their distance in Å.
Atoms (fractional coordinates):
Pt: 0.7500 0.2500 0.5000  4 Sb 2.66, 2 Na 2.90
Sb: 0.8750 0.9526 0.7500  2 Pt 2.66
Sb: 0.3750 0.2974 0.7500  2 Pt 2.66
Sb: 0.0474 0.6250 0.2500  2 Pt 2.66
Pt: 0.0000 0.0000 0.0000  4 Sb 2.66, 2 Na 2.90
Na: 0.2500 0.7500 0.5000  2 Pt 2.90
Na: 0.5000 0.5000 0.0000  2 Pt 2.90
Sb: 0.7026 0.1250 0.2500  2 Pt 2.66


Respective VASP energy values: -23.90; -17.93; -34.51; -16.85; -31.86; -33.53 eV for the cell shown.
Respective N(E_F) values: 1.61; 5.16; 2.28; 0.97; 2.36; 4.34 states/eV/cell.